# 1
# RbBaScCl6

A relaxed structure of RbBaScCl6 (PBE, Alexandria via LeMat-Bulk).

Computed properties:
ΔE_f (raw) (eV per atom): -2.23
Crystal system: trigonal

a = 7.5251 Å, b = 7.5251 Å, c = 13.2349 Å
α = 90.00°, β = 90.00°, γ = 120.00°
Closest atoms and distances in Å follow each position.
Atoms (fractional coordinates):
Rb (0.0000, 0.0000, 0.0000)  6 Cl 3.36
Rb (0.0000, 0.0000, 0.5000)  6 Cl 3.36
Ba (0.3333, 0.6667, 0.2500)  6 Cl 3.09
Ba (0.6667, 0.3333, 0.7500)  6 Cl 3.09
Sc (0.3333, 0.6667, 0.7500)  6 Cl 2.52
Sc (0.6667, 0.3333, 0.2500)  6 Cl 2.52
Cl (0.0567, 0.3976, 0.6399)  1 Sc 2.52
Cl (0.0567, 0.6590, 0.8601)  1 Sc 2.52
Cl (0.3410, 0.3976, 0.8601)  1 Sc 2.52
Cl (0.3410, 0.9433, 0.6399)  1 Sc 2.52
Cl (0.3976, 0.0567, 0.1399)  1 Sc 2.52
Cl (0.3976, 0.3410, 0.3601)  1 Sc 2.52
Cl (0.6024, 0.6590, 0.6399)  1 Sc 2.52
Cl (0.6024, 0.9433, 0.8601)  1 Sc 2.52
Cl (0.6590, 0.0567, 0.3601)  1 Sc 2.52
Cl (0.6590, 0.6024, 0.1399)  1 Sc 2.52
Cl (0.9433, 0.3410, 0.1399)  1 Sc 2.52
Cl (0.9433, 0.6024, 0.3601)  1 Sc 2.52


# 2
# Rb2NbTl3Te6

A relaxed structure of Rb2NbTl3Te6 (PBE, Alexandria via LeMat-Bulk).

Computed properties:
ΔE_f (raw) (eV per atom): -0.44
Crystal system: monoclinic

a = 9.1574 Å, b = 9.1574 Å, c = 7.7374 Å
α = 99.49°, β = 99.49°, γ = 126.07°
Closest atoms and distances in Å follow each position.
Atoms (fractional coordinates):
Rb (0.1830, 0.8170, 0.0000)  6 Te 3.65-3.71
Rb (0.8170, 0.1830, 0.0000)  6 Te 3.65-3.71
Nb (0.5000, 0.5000, 0.0000)  6 Te 2.82-2.85
Tl (0.0000, 0.0000, 0.5000)  4 Te 3.28
Tl (0.3825, 0.6175, 0.5000)  4 Te 3.10-3.13
Tl (0.6175, 0.3825, 0.5000)  4 Te 3.10-3.13
Te (0.1724, 0.4202, 0.7699)  1 Nb 2.82, 1 Tl 3.13
Te (0.2676, 0.2676, 0.1959)  1 Nb 2.85, 2 Tl 3.10
Te (0.4202, 0.1724, 0.7699)  1 Nb 2.82, 1 Tl 3.13
Te (0.5798, 0.8276, 0.2301)  1 Nb 2.82, 1 Tl 3.13
Te (0.7324, 0.7324, 0.8041)  1 Nb 2.85, 2 Tl 3.10
Te (0.8276, 0.5798, 0.2301)  1 Nb 2.82, 1 Tl 3.13


# 3
# CaScRe2

A relaxed structure of CaScRe2 (PBE, Alexandria via LeMat-Bulk).

Computed properties:
E_form (eV per atom): 0.460
Crystal system: tetragonal

a = 3.5860 Å, b = 3.5860 Å, c = 6.6094 Å
α = 90.00°, β = 90.00°, γ = 90.00°
Closest atoms and distances in Å follow each position.
Atoms (fractional coordinates):
Ca (0.0000, 0.0000, 0.0000)  2 Sc 3.30, 8 Re 3.31, 4 Ca 3.59
Sc (0.0000, 0.0000, 0.5000)  8 Re 2.79
Re (0.5000, 0.5000, 0.3225)  1 Re 2.35
Re (0.5000, 0.5000, 0.6775)  1 Re 2.35


# 4
# Tb3PtAu2

A relaxed structure of Tb3PtAu2 (PBE, Alexandria via LeMat-Bulk).

Computed properties:
E_form (eV per atom): -0.904
Crystal system: monoclinic

a = 7.2779 Å, b = 7.2779 Å, c = 8.2843 Å
α = 106.55°, β = 106.55°, γ = 47.84°
Closest atoms and distances in Å follow each position.
Atoms (fractional coordinates):
Tb (0.0009, 0.9991, 0.7500)  2 Pt 2.95, 4 Au 3.00
Tb (0.3437, 0.3478, 0.9228)  2 Pt 2.84, 4 Au 2.96-3.02
Tb (0.3478, 0.3437, 0.4228)  2 Pt 2.84, 4 Au 2.96-3.02
Tb (0.6522, 0.6563, 0.5772)  2 Pt 2.84, 4 Au 2.96-3.02
Tb (0.6563, 0.6522, 0.0772)  2 Pt 2.84, 4 Au 2.96-3.02
Tb (0.9991, 0.0009, 0.2500)  2 Pt 2.95, 4 Au 3.00
Pt (0.4992, 0.5008, 0.2500)  6 Tb 2.84-2.95
Pt (0.5008, 0.4992, 0.7500)  6 Tb 2.84-2.95
Au (0.1698, 0.1736, 0.5860)  6 Tb 2.96-3.02
Au (0.1736, 0.1698, 0.0860)  6 Tb 2.96-3.02
Au (0.8264, 0.8302, 0.9140)  6 Tb 2.96-3.02
Au (0.8302, 0.8264, 0.4140)  6 Tb 2.96-3.02


# 5
# ReSbAu2

A relaxed structure of ReSbAu2 (PBE, Alexandria via LeMat-Bulk).

Computed properties:
ΔE_f (raw) (eV per atom): 0.58
Crystal system: trigonal

a = 9.6727 Å, b = 9.6727 Å, c = 9.6727 Å
α = 18.03°, β = 18.03°, γ = 18.03°
Closest atoms and distances in Å follow each position.
Atoms (fractional coordinates):
Re (0.0000, 0.0000, 0.0000)  6 Au 2.80, 6 Re 3.03
Sb (0.5000, 0.5000, 0.5000)  6 Sb 3.03, 6 Au 3.11
Au (0.2567, 0.2567, 0.2567)  3 Re 2.80, 6 Au 3.03, 3 Sb 3.11
Au (0.7433, 0.7433, 0.7433)  3 Re 2.80, 6 Au 3.03, 3 Sb 3.11


# 6
# CeDy6Te8

A relaxed structure of CeDy6Te8 (PBE, Alexandria via LeMat-Bulk).

Computed properties:
ΔE_f (raw) (eV per atom): -1.22
Crystal system: trigonal

a = 8.1793 Å, b = 8.1793 Å, c = 8.1793 Å
α = 69.56°, β = 69.56°, γ = 69.56°
Closest atoms and distances in Å follow each position.
Atoms (fractional coordinates):
Ce (0.0000, 0.0000, 0.0000)  6 Te 3.15
Dy (0.0773, 0.4524, 0.6931)  7 Te 3.09-3.28
Dy (0.3069, 0.9227, 0.5476)  7 Te 3.09-3.28
Dy (0.4524, 0.6931, 0.0773)  7 Te 3.09-3.28
Dy (0.5476, 0.3069, 0.9227)  7 Te 3.09-3.28
Dy (0.6931, 0.0773, 0.4524)  7 Te 3.09-3.28
Dy (0.9227, 0.5476, 0.3069)  7 Te 3.09-3.28
Te (0.1007, 0.8073, 0.3727)  5 Dy 3.09-3.28, 1 Ce 3.15
Te (0.1927, 0.6273, 0.8993)  5 Dy 3.09-3.28, 1 Ce 3.15
Te (0.3256, 0.3256, 0.3256)  6 Dy 3.19-3.27
Te (0.3727, 0.1007, 0.8073)  5 Dy 3.09-3.28, 1 Ce 3.15
Te (0.6273, 0.8993, 0.1927)  5 Dy 3.09-3.28, 1 Ce 3.15
Te (0.6744, 0.6744, 0.6744)  6 Dy 3.19-3.27
Te (0.8073, 0.3727, 0.1007)  5 Dy 3.09-3.28, 1 Ce 3.15
Te (0.8993, 0.1927, 0.6273)  5 Dy 3.09-3.28, 1 Ce 3.15


# 7
# K2SbPPd

A relaxed structure of K2SbPPd (PBE, Alexandria via LeMat-Bulk).

Computed properties:
ΔE_f (raw) (eV per atom): 0.51
Crystal system: tetragonal

a = 6.7357 Å, b = 6.7357 Å, c = 4.9190 Å
α = 90.00°, β = 90.00°, γ = 90.00°
Closest atoms and distances in Å follow each position.
Atoms (fractional coordinates):
K (0.0000, 0.5000, 0.0000)  2 Sb 3.37
K (0.5000, 0.0000, 0.0000)  2 Sb 3.37
Sb (0.0000, 0.0000, 0.0000)  2 P 2.46
P (0.0000, 0.0000, 0.5000)  2 Sb 2.46
Pd (0.5000, 0.5000, 0.5000)  8 K 4.17


# 8
# CeHf2F11

A relaxed structure of CeHf2F11 (PBE, Alexandria via LeMat-Bulk).

Computed properties:
ΔE_f (raw) (eV per atom): -3.89
Crystal system: orthorhombic

a = 8.4552 Å, b = 8.4552 Å, c = 8.4552 Å
α = 125.14°, β = 106.67°, γ = 97.91°
Closest atoms and distances in Å follow each position.
Atoms (fractional coordinates):
Ce (0.2500, 0.2500, 0.0000)  8 F 2.41-2.42
Ce (0.7500, 0.7500, 0.0000)  8 F 2.41-2.42
Hf (0.1806, 0.6328, 0.8134)  7 F 2.03-2.10
Hf (0.3194, 0.1328, 0.4522)  7 F 2.03-2.10
Hf (0.6806, 0.8672, 0.5478)  7 F 2.03-2.10
Hf (0.8194, 0.3672, 0.1866)  7 F 2.03-2.10
F (0.0000, 0.5000, 0.5000)  2 Hf 2.10
F (0.0509, 0.9666, 0.2886)  1 Hf 2.03
F (0.0516, 0.3664, 0.1610)  1 Hf 2.04
F (0.1779, 0.4666, 0.9157)  1 Hf 2.03
F (0.2054, 0.8906, 0.8390)  1 Hf 2.04
F (0.2197, 0.3695, 0.5893)  2 Hf 2.09-2.10
F (0.2803, 0.8695, 0.1498)  2 Hf 2.09-2.10
F (0.2946, 0.1336, 0.6852)  1 Hf 2.04
F (0.3221, 0.2377, 0.2886)  1 Hf 2.03
F (0.4484, 0.6094, 0.3148)  1 Hf 2.04
F (0.4491, 0.7377, 0.9157)  1 Hf 2.03
F (0.5000, 0.0000, 0.5000)  2 Hf 2.10
F (0.5509, 0.2623, 0.0843)  1 Hf 2.03
F (0.5516, 0.3906, 0.6852)  1 Hf 2.04
F (0.6779, 0.7623, 0.7114)  1 Hf 2.03
F (0.7054, 0.8664, 0.3148)  1 Hf 2.04
F (0.7197, 0.1305, 0.8502)  2 Hf 2.09-2.10
F (0.7803, 0.6305, 0.4107)  2 Hf 2.09-2.10
F (0.7946, 0.1094, 0.1610)  1 Hf 2.04
F (0.8221, 0.5334, 0.0843)  1 Hf 2.03
F (0.9484, 0.6336, 0.8390)  1 Hf 2.04
F (0.9491, 0.0334, 0.7114)  1 Hf 2.03


Result set for electronic total energy: -80.7; -43.2; -31.4; -63.8; -20.8; -76.9; -14.4; -201.7 eV for the cell shown, one per record in the order listed.